Cs2AcFeO4 PBE+U relaxed; crystal system = tetragonal; electronic total energy = -0.4313 Ry/atom; space-group type = I-4, No. 82
1.0
6.4304 -0.2761 -0.4229
-2.9897 5.6998 0.4229
-2.9897 -1.9067 5.3881
Cs Ac Fe O
2 1 1 4
Cartesian
0.2255 3.6602 1.4527
0.0000 0.0000 0.0000
0.2255 -0.1431 3.9353
-2.9897 1.8966 2.9055
1.5731 1.1540 2.4946
-2.0141 0.2916 3.3277
3.8144 2.3695 0.7490
-2.4714 3.2191 4.2048